[1]
{"formula": "In2CoTePb", "functional": "GGA-PBE", "state": "optimized geometry", "magmom_total_mub_per_fu": 0.00, "raw_formation_energy_ev_per_fu": 0.0, "space_group": "P4/mmm, No. 123", "lattice_angstrom": [[-4.782, 1.547, -0.597], [-1.206, -4.495, -1.989], [-1.149, -1.753, 4.659]], "species": ["Pb", "Te", "Co", "In", "In"], "frac_coords": [[0.000, 0.000, 0.500], [0.500, 0.500, 0.500], [0.000, 0.000, 0.000], [0.000, 0.500, 0.000], [0.500, 0.000, 0.000]]}

---

[2]
{"formula": "La2TmCuTe5", "functional": "GGA-PBE", "state": "optimized geometry", "magmom_total_mub_per_fu": 0.00, "raw_formation_energy_ev_per_fu": -11.6, "space_group": "Cmc2_1, No. 36", "lattice_angstrom": [[4.367, 0.000, 0.000], [-2.183, 9.556, 0.000], [0.000, 0.000, 13.060]], "species": ["La", "La", "La", "La", "Tm", "Tm", "Cu", "Cu", "Te", "Te", "Te", "Te", "Te", "Te", "Te", "Te", "Te", "Te"], "frac_coords": [[0.877, 0.753, 0.809], [0.110, 0.220, 0.687], [0.123, 0.247, 0.309], [0.890, 0.780, 0.187], [0.809, 0.618, 0.511], [0.191, 0.382, 0.011], [0.572, 0.144, 0.956], [0.428, 0.856, 0.456], [0.353, 0.706, 0.001], [0.691, 0.382, 0.847], [0.501, 0.001, 0.784], [0.288, 0.576, 0.670], [0.958, 0.916, 0.559], [0.647, 0.294, 0.501], [0.309, 0.618, 0.347], [0.499, 0.999, 0.284], [0.712, 0.424, 0.170], [0.042, 0.084, 0.059]]}

---

[3]
{"formula": "AgPbF3", "functional": "GGA-PBE", "state": "optimized geometry", "magmom_total_mub_per_fu": 0.00, "raw_formation_energy_ev_per_fu": -9.0, "space_group": "Pna2_1, No. 33", "lattice_angstrom": [[-5.400, -1.059, 2.872], [0.439, -6.395, -1.533], [4.271, -1.500, 7.477]], "species": ["Ag", "Ag", "Ag", "Ag", "Pb", "Pb", "Pb", "Pb", "F", "F", "F", "F", "F", "F", "F", "F", "F", "F", "F", "F"], "frac_coords": [[0.493, 0.999, 0.960], [0.507, 0.001, 0.460], [0.007, 0.499, 0.960], [0.993, 0.501, 0.460], [0.014, 0.074, 0.701], [0.486, 0.574, 0.701], [0.514, 0.426, 0.201], [0.986, 0.926, 0.201], [0.877, 0.128, 0.450], [0.807, 0.203, 0.078], [0.123, 0.872, 0.950], [0.193, 0.797, 0.578], [0.307, 0.297, 0.578], [0.661, 0.926, 0.721], [0.693, 0.703, 0.078], [0.839, 0.426, 0.721], [0.623, 0.628, 0.450], [0.377, 0.372, 0.950], [0.161, 0.574, 0.221], [0.339, 0.074, 0.221]]}

---

[4]
{"formula": "Cs2SrZnAs", "functional": "GGA-PBE", "state": "optimized geometry", "magmom_total_mub_per_fu": 0.00, "space_group": "P4/mmm, No. 123", "formation_energy_ev_per_atom": 0.20, "lattice_angstrom": [[-1.035, 1.403, -7.805], [3.585, -4.259, -1.241], [-6.134, -5.131, -0.109]], "species": ["Cs", "Cs", "Sr", "As", "Zn"], "frac_coords": [[0.000, 0.000, 0.500], [0.500, 0.000, 0.000], [0.000, 0.000, 0.000], [0.000, 0.500, 0.000], [0.500, 0.500, 0.500]]}

---

[5]
{"formula": "TiNi2GeH", "functional": "GGA-PBE", "state": "optimized geometry", "magmom_total_mub_per_fu": 0.00, "dft_energy_ev_per_atom": -5.84, "space_group": "P4/mmm, No. 123", "lattice_angstrom": [[3.689, 0.000, 0.000], [0.000, 3.689, 0.000], [0.000, 0.000, 3.983]], "species": ["Ni", "Ni", "Ge", "H", "Ti"], "frac_coords": [[0.000, 0.500, 0.000], [0.500, 0.000, 0.000], [0.500, 0.500, 0.500], [0.000, 0.000, 0.000], [0.000, 0.000, 0.500]]}

---

[6]
{"formula": "KRbIO2", "functional": "GGA-PBE", "state": "optimized geometry", "magmom_total_mub_per_fu": 3.06, "raw_formation_energy_ev_per_fu": -1.0, "space_group": "P4/mmm, No. 123", "lattice_angstrom": [[-0.868, 3.885, -3.509], [-4.998, -1.673, -0.617], [-2.191, 4.505, 5.529]], "species": ["I", "K", "O", "O", "Rb"], "frac_coords": [[0.000, 0.000, 0.500], [0.500, 0.500, 0.500], [0.000, 0.500, 0.000], [0.500, 0.000, 0.000], [0.000, 0.000, 0.000]]}